No. 1
This record from Alexandria describes InBiP2S after structural relaxation. The functional is PBE.

Structure (POSCAR):
```
InBiP2S
1.0
-0.029 -0.359 5.016
-2.612 -4.285 -0.322
4.237 -2.571 -0.160
P S Bi In
2 1 1 1
Cartesian
-1.306 -2.143 -0.161
-0.015 -0.180 2.508
2.118 -1.285 -0.080
0.798 -3.608 2.267
0.000 0.000 0.000
```

Results
Total magnetic moment (μB per formula unit): 0.000
Theoretical density (g/cm³): 5.53
Electronic total energy (eV per atom): -3.550
DOS(E_F) (states/eV per atom): 0.79
ΔE_f (raw) (meV per atom): 763.6

=====

No. 2
This record from Alexandria describes NbP2RhCl after structural relaxation. The functional is PBE.

Structure (POSCAR):
```
NbP2RhCl
1.0
4.832 0.000 0.000
0.000 4.832 0.000
0.000 0.000 4.739
P Nb Rh Cl
2 1 1 1
Cartesian
0.000 2.416 0.000
2.416 0.000 0.000
0.000 0.000 0.000
2.416 2.416 2.370
0.000 0.000 2.370
```

Results
Total magnetic moment (μB per formula unit): 1.278
Theoretical density (g/cm³): 4.40
Electronic total energy (eV per atom): -5.378
DOS(E_F) (states/eV per atom): 1.75
ΔE_f (raw) (meV per atom): 639.6

=====

No. 3
This record from Alexandria describes ErLu2Tc after structural relaxation. The functional is PBE.

Structure (POSCAR):
```
ErLu2Tc
1.0
-4.033 2.525 -1.759
-1.210 -0.264 -4.919
-4.142 -2.538 -1.461
Lu Tc Er
2 1 1
Cartesian
-2.346 -0.069 -2.035
-7.038 -0.208 -6.104
-4.692 -0.138 -4.069
0.000 0.000 0.000
```

Results
Total magnetic moment (μB per formula unit): 0.000
Theoretical density (g/cm³): 11.07
Electronic total energy (eV per atom): -5.855
DOS(E_F) (states/eV per atom): 1.02
ΔH_f (0 K) (eV/atom): 0.1379

=====

No. 4
This record from Alexandria describes Cu2MoPt after structural relaxation. The functional is PBE.

Structure (POSCAR):
```
Cu2MoPt
1.0
-4.623 -1.315 1.793
-3.724 -0.961 -3.395
4.613 -1.231 1.878
Cu Mo Pt
2 1 1
Cartesian
-8.259 -2.252 -1.585
-2.214 -1.875 1.412
-4.220 -1.151 -0.810
-1.563 -1.643 -1.144
```

Results
Total magnetic moment (μB per formula unit): 0.000
Theoretical density (g/cm³): 12.57
Electronic total energy (eV per atom): -6.179
DOS(E_F) (states/eV per atom): 0.67
ΔH_f (0 K) (eV/atom): 0.0866

=====

No. 5
This record from Alexandria describes NaTiIn after structural relaxation. The functional is PBE.

Structure (POSCAR):
```
NaTiIn
1.0
-1.854 -4.366 0.712
3.066 -0.362 5.760
-2.370 3.888 1.506
Na Ti In
2 2 2
Cartesian
-1.098 0.570 0.621
-3.126 -1.047 1.598
0.434 0.388 3.501
-1.592 -1.227 4.477
1.278 -2.444 4.499
-0.066 -2.285 1.973
```

Results
Total magnetic moment (μB per formula unit): 1.283
Theoretical density (g/cm³): 4.74
Electronic total energy (eV per atom): -3.888
DOS(E_F) (states/eV per atom): 0.66
ΔH_f (0 K) (eV/atom): 0.0957

=====

No. 6
This record from Alexandria describes RbLiF3 after structural relaxation. The functional is PBE.

Structure (POSCAR):
```
RbLiF3
1.0
-3.905 -1.404 0.174
0.297 -1.314 -3.929
1.383 -3.681 1.336
Li Rb F
1 1 3
Cartesian
0.000 0.000 0.000
-1.112 -3.200 -1.209
0.149 -0.657 -1.964
0.691 -1.841 0.668
-1.953 -0.702 0.087
```

Results
Total magnetic moment (μB per formula unit): 1.000
Theoretical density (g/cm³): 3.46
Electronic total energy (eV per atom): -3.928
DOS(E_F) (states/eV per atom): 1.60
ΔE_f (raw) (meV per atom): -2229.2

=====

No. 7
This record from Alexandria describes In2Ru after structural relaxation. The functional is PBE.

Structure (POSCAR):
```
In2Ru
1.0
1.582 -6.499 0.000
1.582 6.499 0.000
0.000 0.000 6.628
In Ru
4 2
Cartesian
1.582 -3.309 1.136
1.582 3.309 4.450
1.582 6.407 1.331
1.582 -6.407 4.645
1.582 -1.453 3.053
1.582 1.453 6.367
```

Results
Total magnetic moment (μB per formula unit): 0.000
Theoretical density (g/cm³): 8.05
Electronic total energy (eV per atom): -4.906
DOS(E_F) (states/eV per atom): 0.44
ΔH_f (0 K) (eV/atom): 0.0113

=====

No. 8
This record from Alexandria describes CrSb3 after structural relaxation. The functional is PBE.

Structure (POSCAR):
```
CrSb3
1.0
-0.895 -1.335 -4.819
2.729 -4.232 0.666
-4.190 -2.472 1.463
Cr Sb
1 3
Cartesian
0.000 0.000 0.000
-0.447 -0.667 -2.409
1.365 -2.116 0.333
-2.095 -1.236 0.731
```

Results
Total magnetic moment (μB per formula unit): 2.105
Theoretical density (g/cm³): 5.29
Electronic total energy (eV per atom): -4.981
DOS(E_F) (states/eV per atom): 1.14
ΔE_f (raw) (meV per atom): 517.1

=====

No. 9
This record from Alexandria describes Ca2LaRe after structural relaxation. The functional is PBE.

Structure (POSCAR):
```
Ca2LaRe
1.0
-0.430 -0.949 -4.322
3.963 -2.015 0.048
-3.249 -11.282 0.515
Re Ca La
2 4 2
Cartesian
0.000 0.000 0.000
-0.957 -6.857 -2.972
-0.359 -3.164 -0.283
1.383 -4.700 -2.665
0.981 -10.638 -1.191
-1.439 -9.991 -3.379
1.766 -1.482 -2.137
1.240 -7.390 -0.787
```

Results
Total magnetic moment (μB per formula unit): 0.274
Theoretical density (g/cm³): 6.01
Electronic total energy (eV per atom): -4.500
DOS(E_F) (states/eV per atom): 1.17
ΔH_f (0 K) (eV/atom): 0.8447

=====

No. 10
This record from Alexandria describes La2Zr after structural relaxation. The functional is PBE.

Structure (POSCAR):
```
La2Zr
1.0
5.612 0.000 0.000
0.000 5.612 0.000
0.000 0.000 3.383
La Zr
2 1
Cartesian
0.000 2.806 1.691
2.806 0.000 1.691
0.000 0.000 0.000
```

Results
Total magnetic moment (μB per formula unit): 0.000
Theoretical density (g/cm³): 5.75
Electronic total energy (eV per atom): -5.761
DOS(E_F) (states/eV per atom): 1.43
ΔH_f (0 K) (eV/atom): 0.3730

=====

No. 11
This record from Alexandria describes SmTlAg after structural relaxation. The functional is PBE.

Structure (POSCAR):
```
SmTlAg
1.0
4.899 0.000 0.000
2.450 4.243 0.000
2.450 1.414 4.000
Tl Ag Sm
1 1 1
Cartesian
4.899 2.829 2.000
2.450 1.414 1.000
0.000 0.000 0.000
```

Results
Total magnetic moment (μB per formula unit): 0.000
Theoretical density (g/cm³): 9.24
Electronic total energy (eV per atom): -3.512
DOS(E_F) (states/eV per atom): 1.30
ΔH_f (0 K) (eV/atom): -0.1993

=====

No. 12
This record from Alexandria describes MnFe2Ru2 after structural relaxation. The functional is PBE.

Structure (POSCAR):
```
MnFe2Ru2
1.0
-6.239 -2.296 -2.114
1.183 -6.112 3.147
-1.080 0.919 2.191
Ru Mn Fe
4 2 4
Cartesian
-1.281 -6.171 1.956
-4.686 -5.846 0.141
-3.774 -2.237 -0.923
-0.370 -2.562 0.892
0.000 0.000 0.000
-2.528 -4.204 0.516
-0.802 -4.016 2.843
-3.729 -6.157 2.297
-5.334 -3.473 0.380
-2.407 -1.333 0.926
```

Results
Total magnetic moment (μB per formula unit): 0.000
Theoretical density (g/cm³): 9.64
Electronic total energy (eV per atom): -8.457
DOS(E_F) (states/eV per atom): 1.60
ΔH_f (0 K) (eV/atom): 0.4726

=====

What is the theoretical density in the sixth record? 3.46 g/cm³